Entry 1:
Below is a geometry-optimized CuNiRh2 structure, with properties calculated at the PBE level.

Cell and atoms, written as CIF:
```
data_CuNiRh2
_cell_length_a 5.2328
_cell_length_b 8.7140
_cell_length_c 2.6277
_cell_angle_alpha 90.00
_cell_angle_beta 117.88
_cell_angle_gamma 90.00
_space_group_name_H-M_alt 'C 1 2/m 1'
_space_group_IT_number 12
_space_group_name_Hall '-C 2y'
loop_
_atom_site_label
_atom_site_type_symbol
_atom_site_fract_x
_atom_site_fract_y
_atom_site_fract_z
Cu1 Cu 0.0000 0.0000 0.0000
Ni1 Ni 0.0000 0.5000 0.0000
Rh1 Rh 0.2500 0.2500 0.5000
```

ΔH_f (0 K): 0.183 eV/atom

Entry 2:
Below is a geometry-optimized LuVRe4 structure, with properties calculated at the PBE level.

Cell and atoms, written as CIF:
```
data_LuVRe4
_cell_length_a 7.4398
_cell_length_b 7.4398
_cell_length_c 7.4398
_cell_angle_alpha 90.00
_cell_angle_beta 90.00
_cell_angle_gamma 90.00
_space_group_name_H-M_alt 'F -4 3 m'
_space_group_IT_number 216
_space_group_name_Hall 'F -4 2 3'
loop_
_atom_site_label
_atom_site_type_symbol
_atom_site_fract_x
_atom_site_fract_y
_atom_site_fract_z
Lu1 Lu 0.0000 0.0000 0.0000
V1 V 0.2500 0.2500 0.7500
Re1 Re 0.1250 0.1250 0.3750
```

ΔH_f (0 K): 0.018 eV/atom

Entry 3:
Below is a geometry-optimized MgPtW2 structure, with properties calculated at the PBE level.

Cell and atoms, written as CIF:
```
data_MgPtW2
_cell_length_a 7.5717
_cell_length_b 7.5717
_cell_length_c 5.1217
_cell_angle_alpha 90.00
_cell_angle_beta 90.00
_cell_angle_gamma 90.00
_space_group_name_H-M_alt 'I -4 2 d'
_space_group_IT_number 122
_space_group_name_Hall 'I -4 2bw'
loop_
_atom_site_label
_atom_site_type_symbol
_atom_site_fract_x
_atom_site_fract_y
_atom_site_fract_z
Mg1 Mg 0.0000 0.0000 0.0000
Pt1 Pt 0.0000 0.0000 0.5000
W1 W 0.2137 0.2500 0.6250
```

ΔH_f (0 K): 0.710 eV/atom

Entry 4:
Below is a geometry-optimized ZrTcP2O structure, with properties calculated at the PBE level.

Cell and atoms, written as CIF:
```
data_ZrTcP2O
_cell_length_a 4.8076
_cell_length_b 4.8076
_cell_length_c 3.6523
_cell_angle_alpha 90.00
_cell_angle_beta 90.00
_cell_angle_gamma 90.00
_space_group_name_H-M_alt 'P 4/m m m'
_space_group_IT_number 123
_space_group_name_Hall '-P 4 2'
loop_
_atom_site_label
_atom_site_type_symbol
_atom_site_fract_x
_atom_site_fract_y
_atom_site_fract_z
Zr1 Zr 0.0000 0.0000 0.0000
Tc1 Tc 0.5000 0.5000 0.5000
P1 P 0.0000 0.5000 0.5000
O1 O 0.5000 0.5000 0.0000
```

offset from the most stable computed form: 0.00 eV/f.u.
raw formation energy: -0.391 eV/atom

Entry 5:
Below is a geometry-optimized InTeH3 structure, with properties calculated at the PBE level.

Cell and atoms, written as CIF:
```
data_InTeH3
_cell_length_a 4.0765
_cell_length_b 4.0765
_cell_length_c 4.0765
_cell_angle_alpha 90.00
_cell_angle_beta 90.00
_cell_angle_gamma 90.00
_space_group_name_H-M_alt 'P m -3 m'
_space_group_IT_number 221
_space_group_name_Hall '-P 4 2 3'
loop_
_atom_site_label
_atom_site_type_symbol
_atom_site_fract_x
_atom_site_fract_y
_atom_site_fract_z
In1 In 0.0000 0.0000 0.0000
Te1 Te 0.5000 0.5000 0.5000
H1 H 0.0000 0.0000 0.5000
```

offset from the most stable computed form: 0.71 eV/f.u.

Entry 6:
Below is a geometry-optimized ReGe structure, with properties calculated at the PBE level.

Cell and atoms, written as CIF:
```
data_ReGe
_cell_length_a 5.6453
_cell_length_b 5.6453
_cell_length_c 5.6453
_cell_angle_alpha 90.00
_cell_angle_beta 90.00
_cell_angle_gamma 90.00
_space_group_name_H-M_alt 'F -4 3 m'
_space_group_IT_number 216
_space_group_name_Hall 'F -4 2 3'
loop_
_atom_site_label
_atom_site_type_symbol
_atom_site_fract_x
_atom_site_fract_y
_atom_site_fract_z
Re1 Re 0.0000 0.0000 0.0000
Ge1 Ge 0.2500 0.2500 0.2500
```

ΔH_f (0 K): 1.403 eV/atom

Entry 7:
Below is a geometry-optimized HoMnW2C4 structure, with properties calculated at the PBE level.

Cell and atoms, written as CIF:
```
data_HoMnW2C4
_cell_length_a 3.1862
_cell_length_b 10.7837
_cell_length_c 10.6333
_cell_angle_alpha 90.00
_cell_angle_beta 90.00
_cell_angle_gamma 90.00
_space_group_name_H-M_alt 'C m c m'
_space_group_IT_number 63
_space_group_name_Hall '-C 2c 2'
loop_
_atom_site_label
_atom_site_type_symbol
_atom_site_fract_x
_atom_site_fract_y
_atom_site_fract_z
Ho1 Ho 0.0000 0.1079 0.2500
Mn1 Mn 0.0000 0.1577 0.7500
W1 W 0.0000 0.3725 0.0402
C1 C 0.0000 0.0000 0.0000
C2 C 0.0000 0.2651 0.6159
C3 C 0.0000 0.4320 0.2500
```

ΔH_f (0 K): -0.059 eV/atom

Entry 8:
Below is a geometry-optimized NaPaAu2O6 structure, with properties calculated at the PBE level.

Cell and atoms, written as CIF:
```
data_NaPaAu2O6
_cell_length_a 11.1253
_cell_length_b 9.2464
_cell_length_c 5.8448
_cell_angle_alpha 90.00
_cell_angle_beta 111.07
_cell_angle_gamma 90.00
_space_group_name_H-M_alt 'C 1 2/c 1'
_space_group_IT_number 15
_space_group_name_Hall '-C 2yc'
loop_
_atom_site_label
_atom_site_type_symbol
_atom_site_fract_x
_atom_site_fract_y
_atom_site_fract_z
Na1 Na 0.0000 0.1631 0.2500
Pa1 Pa 0.0000 0.2772 0.7500
Au1 Au 0.2397 0.4199 0.4001
O1 O 0.1225 0.3521 0.5778
O2 O 0.1324 0.3066 0.0972
O3 O 0.1424 0.0304 0.7886
```

raw formation energy: -1.341 eV/atom

Entry 9:
Below is a geometry-optimized MoAuSe3 structure, with properties calculated at the PBE level.

Cell and atoms, written as CIF:
```
data_MoAuSe3
_cell_length_a 4.9218
_cell_length_b 4.9218
_cell_length_c 4.9218
_cell_angle_alpha 90.00
_cell_angle_beta 90.00
_cell_angle_gamma 90.00
_space_group_name_H-M_alt 'P m -3 m'
_space_group_IT_number 221
_space_group_name_Hall '-P 4 2 3'
loop_
_atom_site_label
_atom_site_type_symbol
_atom_site_fract_x
_atom_site_fract_y
_atom_site_fract_z
Mo1 Mo 0.0000 0.0000 0.0000
Au1 Au 0.5000 0.5000 0.5000
Se1 Se 0.0000 0.0000 0.5000
```

offset from the most stable computed form: 0.00 eV/f.u.
raw formation energy: 0.418 eV/atom

Entry 10:
Below is a geometry-optimized MnCo2Tc structure, with properties calculated at the PBE level.

Cell and atoms, written as CIF:
```
data_MnCo2Tc
_cell_length_a 5.8088
_cell_length_b 5.8088
_cell_length_c 5.8088
_cell_angle_alpha 90.00
_cell_angle_beta 90.00
_cell_angle_gamma 90.00
_space_group_name_H-M_alt 'F -4 3 m'
_space_group_IT_number 216
_space_group_name_Hall 'F -4 2 3'
loop_
_atom_site_label
_atom_site_type_symbol
_atom_site_fract_x
_atom_site_fract_y
_atom_site_fract_z
Mn1 Mn 0.0000 0.0000 0.0000
Co1 Co 0.0000 0.0000 0.5000
Co2 Co 0.2500 0.2500 0.7500
Tc1 Tc 0.2500 0.2500 0.2500
```

offset from the most stable computed form: 0.67 eV/f.u.
ΔH_f (0 K): 0.180 eV/atom

Entry 11:
Below is a geometry-optimized KCd2NiAs structure, with properties calculated at the PBE level.

Cell and atoms, written as CIF:
```
data_KCd2NiAs
_cell_length_a 5.1118
_cell_length_b 5.1118
_cell_length_c 4.6649
_cell_angle_alpha 90.00
_cell_angle_beta 90.00
_cell_angle_gamma 90.00
_space_group_name_H-M_alt 'P 4/m m m'
_space_group_IT_number 123
_space_group_name_Hall '-P 4 2'
loop_
_atom_site_label
_atom_site_type_symbol
_atom_site_fract_x
_atom_site_fract_y
_atom_site_fract_z
K1 K 0.0000 0.0000 0.0000
Cd1 Cd 0.0000 0.5000 0.5000
Ni1 Ni 0.5000 0.5000 0.5000
As1 As 0.5000 0.5000 0.0000
```

ΔH_f (0 K): -0.068 eV/atom

Entry 12:
Below is a geometry-optimized Tb5Tm8Sc structure, with properties calculated at the PBE level.

Cell and atoms, written as CIF:
```
data_Tb5Tm8Sc
_cell_length_a 13.3120
_cell_length_b 9.8764
_cell_length_c 9.4227
_cell_angle_alpha 90.00
_cell_angle_beta 134.88
_cell_angle_gamma 90.00
_space_group_name_H-M_alt 'C 1 2 1'
_space_group_IT_number 5
_space_group_name_Hall 'C 2y'
loop_
_atom_site_label
_atom_site_type_symbol
_atom_site_fract_x
_atom_site_fract_y
_atom_site_fract_z
Tb1 Tb 0.0000 0.0000 0.0000
Tb2 Tb 0.1086 0.4209 0.8968
Tb3 Tb 0.2116 0.5800 0.3208
Tm1 Tm 0.0694 0.0906 0.7434
Tm2 Tm 0.0886 0.7522 0.9083
Tm3 Tm 0.1742 0.4096 0.6045
Tm4 Tm 0.1800 0.2481 0.2672
Sc1 Sc 0.0000 0.7492 0.5000
```

ΔH_f (0 K): 0.260 eV/atom

Entry 13:
Below is a geometry-optimized Nd6In5Cu structure, with properties calculated at the PBE level.

Cell and atoms, written as CIF:
```
data_Nd6In5Cu
_cell_length_a 5.4348
_cell_length_b 7.7200
_cell_length_c 8.5854
_cell_angle_alpha 90.00
_cell_angle_beta 108.38
_cell_angle_gamma 90.00
_space_group_name_H-M_alt 'P 1 2/m 1'
_space_group_IT_number 10
_space_group_name_Hall '-P 2y'
loop_
_atom_site_label
_atom_site_type_symbol
_atom_site_fract_x
_atom_site_fract_y
_atom_site_fract_z
Nd1 Nd 0.0000 0.2383 0.0000
Nd2 Nd 0.3390 0.2433 0.6784
In1 In 0.1677 0.0000 0.3354
In2 In 0.1693 0.5000 0.3383
In3 In 0.5000 0.5000 0.0000
Cu1 Cu 0.5000 0.0000 0.0000
```

ΔH_f (0 K): -0.410 eV/atom

Entry 14:
Below is a geometry-optimized Ca2AgOsN structure, with properties calculated at the PBE level.

Cell and atoms, written as CIF:
```
data_Ca2AgOsN
_cell_length_a 5.6547
_cell_length_b 5.6547
_cell_length_c 3.7639
_cell_angle_alpha 90.00
_cell_angle_beta 90.00
_cell_angle_gamma 90.00
_space_group_name_H-M_alt 'P 4/m m m'
_space_group_IT_number 123
_space_group_name_Hall '-P 4 2'
loop_
_atom_site_label
_atom_site_type_symbol
_atom_site_fract_x
_atom_site_fract_y
_atom_site_fract_z
Ca1 Ca 0.0000 0.5000 0.0000
Ag1 Ag 0.0000 0.0000 0.5000
Os1 Os 0.5000 0.5000 0.0000
N1 N 0.5000 0.5000 0.5000
```

offset from the most stable computed form: 2.25 eV/f.u.
raw formation energy: 0.046 eV/atom

Entry 15:
Below is a geometry-optimized GaAg2OsBr structure, with properties calculated at the PBE level.

Cell and atoms, written as CIF:
```
data_GaAg2OsBr
_cell_length_a 4.9603
_cell_length_b 4.9603
_cell_length_c 4.7286
_cell_angle_alpha 90.00
_cell_angle_beta 90.00
_cell_angle_gamma 90.00
_space_group_name_H-M_alt 'P 4/m m m'
_space_group_IT_number 123
_space_group_name_Hall '-P 4 2'
loop_
_atom_site_label
_atom_site_type_symbol
_atom_site_fract_x
_atom_site_fract_y
_atom_site_fract_z
Ga1 Ga 0.0000 0.0000 0.0000
Ag1 Ag 0.0000 0.5000 0.0000
Os1 Os 0.0000 0.0000 0.5000
Br1 Br 0.5000 0.5000 0.5000
```

raw formation energy: 1.041 eV/atom

Entry 16:
Below is a geometry-optimized KCdTe structure, with properties calculated at the PBE level.

Cell and atoms, written as CIF:
```
data_KCdTe
_cell_length_a 7.7416
_cell_length_b 7.7416
_cell_length_c 7.7416
_cell_angle_alpha 90.00
_cell_angle_beta 90.00
_cell_angle_gamma 90.00
_space_group_name_H-M_alt 'F -4 3 m'
_space_group_IT_number 216
_space_group_name_Hall 'F -4 2 3'
loop_
_atom_site_label
_atom_site_type_symbol
_atom_site_fract_x
_atom_site_fract_y
_atom_site_fract_z
K1 K 0.0000 0.0000 0.0000
Cd1 Cd 0.2500 0.2500 0.2500
Te1 Te 0.2500 0.2500 0.7500
```

offset from the most stable computed form: 1.32 eV/f.u.
raw formation energy: -0.166 eV/atom

Entry 17:
Below is a geometry-optimized Zn2BPd8 structure, with properties calculated at the PBE level.

Cell and atoms, written as CIF:
```
data_Zn2BPd8
_cell_length_a 13.8589
_cell_length_b 4.5196
_cell_length_c 5.5384
_cell_angle_alpha 90.00
_cell_angle_beta 112.46
_cell_angle_gamma 90.00
_space_group_name_H-M_alt 'C 1 2/m 1'
_space_group_IT_number 12
_space_group_name_Hall '-C 2y'
loop_
_atom_site_label
_atom_site_type_symbol
_atom_site_fract_x
_atom_site_fract_y
_atom_site_fract_z
Zn1 Zn 0.1860 0.0000 0.1928
B1 B 0.0000 0.5000 0.5000
Pd1 Pd 0.0113 0.0000 0.2615
Pd2 Pd 0.1041 0.5000 0.8920
Pd3 Pd 0.1343 0.5000 0.4136
Pd4 Pd 0.1932 0.0000 0.7330
```

ΔH_f (0 K): -0.254 eV/atom

Entry 18:
Below is a geometry-optimized P2AuOF structure, with properties calculated at the PBE level.

Cell and atoms, written as CIF:
```
data_P2AuOF
_cell_length_a 4.1424
_cell_length_b 4.1424
_cell_length_c 4.1881
_cell_angle_alpha 90.00
_cell_angle_beta 90.00
_cell_angle_gamma 90.00
_space_group_name_H-M_alt 'P 4/m m m'
_space_group_IT_number 123
_space_group_name_Hall '-P 4 2'
loop_
_atom_site_label
_atom_site_type_symbol
_atom_site_fract_x
_atom_site_fract_y
_atom_site_fract_z
P1 P 0.0000 0.5000 0.0000
Au1 Au 0.0000 0.0000 0.5000
O1 O 0.5000 0.5000 0.5000
F1 F 0.5000 0.5000 0.0000
```

offset from the most stable computed form: 0.00 eV/f.u.
raw formation energy: 0.847 eV/atom

Entry 19:
Below is a geometry-optimized BiTeOs2 structure, with properties calculated at the PBE level.

Cell and atoms, written as CIF:
```
data_BiTeOs2
_cell_length_a 6.0085
_cell_length_b 6.0085
_cell_length_c 12.0006
_cell_angle_alpha 90.00
_cell_angle_beta 90.00
_cell_angle_gamma 90.00
_space_group_name_H-M_alt 'I -4 2 d'
_space_group_IT_number 122
_space_group_name_Hall 'I -4 2bw'
loop_
_atom_site_label
_atom_site_type_symbol
_atom_site_fract_x
_atom_site_fract_y
_atom_site_fract_z
Bi1 Bi 0.0000 0.0000 0.0000
Te1 Te 0.0000 0.0000 0.5000
Os1 Os 0.2312 0.2500 0.6250
```

offset from the most stable computed form: 0.30 eV/f.u.
raw formation energy: 1.122 eV/atom

Entry 20:
Below is a geometry-optimized TaTiZn2Pb structure, with properties calculated at the PBE level.

Cell and atoms, written as CIF:
```
data_TaTiZn2Pb
_cell_length_a 4.9398
_cell_length_b 4.9398
_cell_length_c 5.3101
_cell_angle_alpha 90.00
_cell_angle_beta 90.00
_cell_angle_gamma 90.00
_space_group_name_H-M_alt 'P 4/m m m'
_space_group_IT_number 123
_space_group_name_Hall '-P 4 2'
loop_
_atom_site_label
_atom_site_type_symbol
_atom_site_fract_x
_atom_site_fract_y
_atom_site_fract_z
Ta1 Ta 0.0000 0.0000 0.0000
Ti1 Ti 0.5000 0.5000 0.5000
Zn1 Zn 0.0000 0.5000 0.0000
Pb1 Pb 0.0000 0.0000 0.5000
```

ΔH_f (0 K): 1.175 eV/atom

Number 1: electronic total energy -5.96 eV per atom. Number 2: electronic total energy -10.55 eV per atom. Number 3: electronic total energy -7.68 eV per atom. Number 4: electronic total energy -7.33 eV per atom. Number 5: electronic total energy -2.49 eV per atom. Number 6: electronic total energy -7.13 eV per atom. Number 7: electronic total energy -9.63 eV per atom. Number 8: electronic total energy -6.05 eV per atom. Number 9: electronic total energy -4.49 eV per atom. Number 10: electronic total energy -8.26 eV per atom. Number 11: electronic total energy -2.74 eV per atom. Number 12: electronic total energy -4.40 eV per atom. Number 13: electronic total energy -4.28 eV per atom. Number 14: electronic total energy -5.24 eV per atom. Number 15: electronic total energy -3.29 eV per atom. Number 16: electronic total energy -1.88 eV per atom. Number 17: electronic total energy -4.87 eV per atom. Number 18: electronic total energy -3.34 eV per atom. Number 19: electronic total energy -6.25 eV per atom. Number 20: electronic total energy -4.03 eV per atom.